{"formula": "VFe2MoAu", "functional": "PBE", "state": "optimized geometry", "sg": "P4/mmm (123)", "delta_e_f_ev_per_atom": 1.965, "dos_ef_per_ev_cell": 8.663, "magnetic_moment_mub_per_atom": 1.30, "crystal_system": "tetragonal", "lattice": [[-1.7145, 2.2613, 3.6198], [-2.8089, -3.8943, 1.1023], [3.3673, -1.6802, 2.6446]], "species": ["V", "Mo", "Fe", "Au", "Fe"], "frac_coords": [[0.5000, 0.5000, 0.5000], [0.0000, 0.5000, 0.0000], [0.5000, 0.0000, 0.0000], [0.0000, 0.0000, 0.0000], [0.0000, 0.0000, 0.5000]]}

{"formula": "FeMoWAu2", "functional": "PBE", "state": "optimized geometry", "sg": "P4/mmm (123)", "delta_e_f_ev_per_atom": 1.522, "dos_ef_per_ev_cell": 4.790, "magnetic_moment_mub_per_atom": 0.58, "e_above_lowest_polymorph_mev_per_atom": 0, "crystal_system": "tetragonal", "lattice": [[-3.8281, -0.3262, -2.7177], [-0.0515, -4.2147, 0.5785], [-2.7366, 0.5534, 3.7883]], "species": ["Au", "Au", "Mo", "W", "Fe"], "frac_coords": [[0.5000, 0.0000, 0.0000], [0.0000, 0.0000, 0.5000], [0.0000, 0.5000, 0.0000], [0.5000, 0.5000, 0.5000], [0.0000, 0.0000, 0.0000]]}

{"formula": "FeMoW2Au", "functional": "PBE", "state": "optimized geometry", "sg": "P4/mmm (123)", "delta_e_f_ev_per_atom": 2.401, "dos_ef_per_ev_cell": 6.918, "magnetic_moment_mub_per_atom": 0.02, "crystal_system": "tetragonal", "lattice": [[4.6600, 0.0000, 0.0000], [0.0000, 4.9828, 0.0000], [0.0000, 0.0000, 4.6600]], "species": ["Mo", "W", "Au", "W", "Fe"], "frac_coords": [[0.0000, 0.0000, 0.0000], [0.5000, 0.0000, 0.0000], [0.0000, 0.5000, 0.0000], [0.0000, 0.0000, 0.5000], [0.5000, 0.5000, 0.5000]]}

{"formula": "FeMoWAu2", "functional": "PBE", "state": "optimized geometry", "sg": "P4/mmm (123)", "delta_e_f_ev_per_atom": 1.785, "dos_ef_per_ev_cell": 5.286, "magnetic_moment_mub_per_atom": 1.03, "e_above_lowest_polymorph_mev_per_atom": 263, "crystal_system": "tetragonal", "lattice": [[5.0457, 0.0000, 0.0000], [0.0000, 4.3941, 0.0000], [0.0000, 0.0000, 5.0457]], "species": ["Mo", "Au", "W", "Au", "Fe"], "frac_coords": [[0.5000, 0.5000, 0.5000], [0.0000, 0.0000, 0.5000], [0.0000, 0.0000, 0.0000], [0.5000, 0.0000, 0.0000], [0.0000, 0.5000, 0.0000]]}

What did the first record say?
{"formula": "VFe2MoAu", "functional": "PBE", "state": "optimized geometry", "sg": "P4/mmm (123)", "delta_e_f_ev_per_atom": 1.965, "dos_ef_per_ev_cell": 8.663, "magnetic_moment_mub_per_atom": 1.30, "crystal_system": "tetragonal", "lattice": [[-1.7145, 2.2613, 3.6198], [-2.8089, -3.8943, 1.1023], [3.3673, -1.6802, 2.6446]], "species": ["V", "Mo", "Fe", "Au", "Fe"], "frac_coords": [[0.5000, 0.5000, 0.5000], [0.0000, 0.5000, 0.0000], [0.5000, 0.0000, 0.0000], [0.0000, 0.0000, 0.0000], [0.0000, 0.0000, 0.5000]]}